CrGeF6: optimized geometry, PBE with a Hubbard U.

Calculated values
SG: C2/m, No. 12
E: -5.363 eV per atom
spin magnetization: 0.50 μB/atom
crystal system: monoclinic
D(E_F): 0.00 states/eV/cell

Cell and atoms, written as POSCAR:
```
CrGeF6
1.0
2.5727 -4.3673 0.0000
2.5727 4.3673 0.0000
-1.4513 0.0000 4.8608
Cr Ge F
1 1 6
direct
0.0000 0.0000 0.0000
0.5000 0.5000 0.5000
0.1355 0.4209 0.2673
0.2754 0.2754 0.7140
0.4209 0.1355 0.2673
0.5791 0.8645 0.7327
0.7246 0.7246 0.2860
0.8645 0.5791 0.7327
```